Density functional theory data (PBE) for an optimized crystal structure of Gd3Co2B2P3.

abc: 3.8968 3.8968 21.8817
angles: 90.00 90.00 90.00
Closest atoms and distances in Å follow each position.
Space group I4/mmm (No. 139)
Unique sites:
Gd  0.0000  0.0000  0.0000  6 P 2.75-2.76
Gd  0.0000  0.0000  0.3615  5 P 2.77-3.03
Co  0.0000  0.5000  0.2500  4 B 2.09
B  0.0000  0.0000  0.2155  1 P 1.97, 4 Co 2.09
P  0.0000  0.0000  0.1256  1 B 1.97
P  0.0000  0.0000  0.5000  6 Gd 2.76-3.03

Crystal system: tetragonal
M_tot (Bohr magnetons per cell): 0.0
Electronic total energy (eV/atom): -6.655